Record 1
First-principles (PBE) data for a geometry-optimized La2Y7Er structure, as listed in Alexandria via LeMat-Bulk.

Lattice parameters (Å, degrees): 8.053 9.534 9.537 141.94 126.32 47.43
Fractional coordinates of all 10 atoms:
La 0.503 0.901 0.603
La 0.496 0.099 0.397
Y 0.999 0.601 0.401
Y 0.001 0.399 0.599
Y 0.500 0.700 0.800
Y 0.500 0.300 0.200
Y 0.000 0.800 0.198
Y 0.000 0.200 0.802
Y 0.500 0.500 0.000
Er 0.000 0.000 0.000

## Properties
**ρ**: 5378 kg/m3
**Calculated volume**: 32.96 Å³/atom
**Crystal system**: triclinic
**Energy of formation from the pure elements**: 0.02 eV/atom
**Excess energy over the best structure of this formula in the dataset**: 0 meV/atom

Record 2
First-principles (PBE) data for a geometry-optimized La8Y3Er3 structure, as listed in Alexandria via LeMat-Bulk.

Lattice parameters (Å, degrees): 9.848 9.848 9.848 146.33 78.65 111.38
Fractional coordinates of all 14 atoms:
La 0.114 0.343 0.771
La 0.886 0.657 0.229
La 0.572 0.343 0.229
La 0.428 0.657 0.771
La 0.769 0.162 0.607
La 0.231 0.838 0.393
La 0.555 0.162 0.393
La 0.445 0.838 0.607
Y 0.000 0.500 0.500
Y 0.825 0.000 0.825
Y 0.175 0.000 0.175
Er 0.500 0.500 0.000
Er 0.201 0.201 0.000
Er 0.799 0.799 0.000

## Properties
**ρ**: 6470 kg/m3
**Calculated volume**: 34.46 Å³/atom
**Crystal system**: orthorhombic
**Energy of formation from the pure elements**: 0.09 eV/atom

Record 3
First-principles (PBE) data for a geometry-optimized La8Y2Er structure, as listed in Alexandria via LeMat-Bulk.

Lattice parameters (Å, degrees): 5.814 8.213 9.699 115.04 107.44 90.00
Fractional coordinates of all 11 atoms:
La 0.633 0.832 0.265
La 0.368 0.567 0.735
La 0.164 0.164 0.328
La 0.000 0.289 0.000
La 0.836 0.836 0.672
La 0.632 0.433 0.265
La 0.367 0.168 0.735
La 0.000 0.711 0.000
Y 0.203 0.702 0.405
Y 0.797 0.298 0.595
Er 0.500 0.000 0.000

## Properties
**ρ**: 6107 kg/m3
**Calculated volume**: 36.00 Å³/atom
**Crystal system**: orthorhombic
**Energy of formation from the pure elements**: 0.10 eV/atom
**Excess energy over the best structure of this formula in the dataset**: 0 meV/atom

Record 4
First-principles (PBE) data for a geometry-optimized LaY4Er7 structure, as listed in Alexandria via LeMat-Bulk.

Lattice parameters (Å, degrees): 6.963 8.546 8.759 87.45 99.50 49.76
Fractional coordinates of all 12 atoms:
La 0.000 0.000 0.000
Y 0.580 0.653 0.317
Y 0.420 0.347 0.683
Y 0.788 0.813 0.665
Y 0.212 0.187 0.335
Er 0.730 0.524 0.970
Er 0.270 0.476 0.030
Er 0.945 0.318 0.668
Er 0.055 0.682 0.332
Er 0.287 0.814 0.629
Er 0.500 0.000 0.000
Er 0.713 0.186 0.371

## Properties
**ρ**: 7194 kg/m3
**Calculated volume**: 32.03 Å³/atom
**Crystal system**: triclinic
**Energy of formation from the pure elements**: 0.08 eV/atom
**Excess energy over the best structure of this formula in the dataset**: 0 meV/atom

Record 5
First-principles (PBE) data for a geometry-optimized La2YEr structure, as listed in Alexandria via LeMat-Bulk.

Lattice parameters (Å, degrees): 3.722 3.722 9.883 90.00 90.00 90.00
Fractional coordinates of all 4 atoms:
Y 0.500 0.500 0.500
La 0.000 0.000 0.753
La 0.000 0.000 0.247
Er 0.500 0.500 0.000

## Properties
**ρ**: 6475 kg/m3
**Calculated volume**: 34.24 Å³/atom
**Crystal system**: tetragonal
**Energy of formation from the pure elements**: 0.02 eV/atom
**Excess energy over the best structure of this formula in the dataset**: 14 meV/atom

Record 6
First-principles (PBE) data for a geometry-optimized LaY3Er6 structure, as listed in Alexandria via LeMat-Bulk.

Lattice parameters (Å, degrees): 8.918 9.001 9.001 116.79 90.00 90.00
Fractional coordinates of all 20 atoms:
La 0.086 0.275 0.725
La 0.586 0.725 0.275
Y 0.492 0.811 0.692
Y 0.992 0.692 0.811
Y 0.311 0.448 0.552
Y 0.811 0.552 0.448
Y 0.992 0.189 0.308
Y 0.492 0.308 0.189
Er 0.163 0.815 0.530
Er 0.663 0.530 0.815
Er 0.323 0.674 0.974
Er 0.823 0.974 0.674
Er 0.182 0.049 0.951
Er 0.451 0.215 0.785
Er 0.951 0.785 0.215
Er 0.682 0.951 0.049
Er 0.323 0.026 0.326
Er 0.823 0.326 0.026
Er 0.163 0.470 0.185
Er 0.663 0.185 0.470

## Properties
**ρ**: 7255 kg/m3
**Calculated volume**: 32.25 Å³/atom
**Crystal system**: orthorhombic
**Energy of formation from the pure elements**: 0.13 eV/atom

Record 7
First-principles (PBE) data for a geometry-optimized La15YEr4 structure, as listed in Alexandria via LeMat-Bulk.

Lattice parameters (Å, degrees): 5.200 5.200 25.995 90.00 90.00 90.00
Fractional coordinates of all 20 atoms:
La 0.500 0.500 0.000
La 0.500 0.500 0.200
La 0.500 0.500 0.400
La 0.500 0.500 0.600
La 0.500 0.500 0.800
La 0.500 0.000 0.101
La 0.500 0.000 0.300
La 0.500 0.000 0.500
La 0.500 0.000 0.700
La 0.500 0.000 0.899
La 0.000 0.500 0.101
La 0.000 0.500 0.300
La 0.000 0.500 0.500
La 0.000 0.500 0.700
La 0.000 0.500 0.899
Y 0.000 0.000 0.000
Er 0.000 0.000 0.200
Er 0.000 0.000 0.400
Er 0.000 0.000 0.600
Er 0.000 0.000 0.800

## Properties
**ρ**: 6713 kg/m3
**Calculated volume**: 35.14 Å³/atom
**Crystal system**: tetragonal
**Energy of formation from the pure elements**: 0.01 eV/atom

Record 8
First-principles (PBE) data for a geometry-optimized La3Y8Er4 structure, as listed in Alexandria via LeMat-Bulk.

Lattice parameters (Å, degrees): 6.786 9.340 9.340 87.21 111.39 111.39
Fractional coordinates of all 15 atoms:
La 0.500 0.500 0.000
La 0.500 0.000 0.500
La 0.500 0.500 0.500
Y 0.532 0.266 0.266
Y 0.000 0.643 0.357
Y 0.002 0.258 0.258
Y 0.500 0.749 0.251
Y 0.500 0.251 0.749
Y 0.998 0.742 0.742
Y 0.000 0.357 0.643
Y 0.468 0.734 0.734
Er 0.500 0.000 0.000
Er 0.000 0.500 0.000
Er 0.000 0.000 0.000
Er 0.000 0.000 0.500

## Properties
**ρ**: 5841 kg/m3
**Calculated volume**: 34.06 Å³/atom
**Crystal system**: monoclinic
**Energy of formation from the pure elements**: 0.40 eV/atom

Record 9
First-principles (PBE) data for a geometry-optimized LaY4Er10 structure, as listed in Alexandria via LeMat-Bulk.

Lattice parameters (Å, degrees): 6.475 9.649 9.649 83.54 70.40 70.40
Fractional coordinates of all 15 atoms:
La 0.000 0.000 0.000
Y 0.433 0.892 0.243
Y 0.675 0.757 0.892
Y 0.325 0.243 0.108
Y 0.567 0.108 0.757
Er 0.250 0.500 0.500
Er 0.621 0.421 0.838
Er 0.958 0.162 0.421
Er 0.540 0.838 0.579
Er 0.880 0.579 0.162
Er 0.379 0.579 0.162
Er 0.750 0.500 0.500
Er 0.120 0.421 0.838
Er 0.460 0.162 0.421
Er 0.042 0.838 0.579

## Properties
**ρ**: 6727 kg/m3
**Calculated volume**: 35.67 Å³/atom
**Crystal system**: tetragonal
**Energy of formation from the pure elements**: 0.56 eV/atom

Record 10
First-principles (PBE) data for a geometry-optimized La4Y4Er structure, as listed in Alexandria via LeMat-Bulk.

Lattice parameters (Å, degrees): 5.160 8.135 8.135 84.23 71.51 71.51
Fractional coordinates of all 9 atoms:
La 0.666 0.669 0.000
La 0.334 0.331 0.000
La 0.666 0.000 0.669
La 0.334 0.000 0.331
Y 0.665 0.335 0.335
Y 0.335 0.665 0.665
Y 0.000 0.665 0.335
Y 0.000 0.335 0.665
Er 0.000 0.000 0.000

## Properties
**ρ**: 5831 kg/m3
**Calculated volume**: 34.12 Å³/atom
**Crystal system**: tetragonal
**Energy of formation from the pure elements**: 0.03 eV/atom
**Excess energy over the best structure of this formula in the dataset**: 0 meV/atom

Record 11
First-principles (PBE) data for a geometry-optimized La5Y12Er2 structure, as listed in Alexandria via LeMat-Bulk.

Lattice parameters (Å, degrees): 6.821 14.110 15.707 153.31 86.80 100.70
Fractional coordinates of all 19 atoms:
La 0.265 0.583 0.570
La 0.585 0.004 0.392
La 0.000 0.000 0.500
La 0.415 0.996 0.608
La 0.735 0.417 0.430
Y 0.964 0.030 0.231
Y 0.135 0.612 0.005
Y 0.610 0.508 0.901
Y 0.062 0.456 0.259
Y 0.614 0.618 0.394
Y 0.558 0.088 0.895
Y 0.442 0.912 0.105
Y 0.938 0.544 0.741
Y 0.386 0.382 0.606
Y 0.865 0.388 0.995
Y 0.390 0.492 0.099
Y 0.036 0.970 0.769
Er 0.739 0.921 0.935
Er 0.261 0.079 0.065

## Properties
**ρ**: 5386 kg/m3
**Calculated volume**: 34.01 Å³/atom
**Crystal system**: triclinic
**Energy of formation from the pure elements**: 0.10 eV/atom

Record 12
First-principles (PBE) data for a geometry-optimized La2Y2Er structure, as listed in Alexandria via LeMat-Bulk.

Lattice parameters (Å, degrees): 6.625 12.649 8.668 90.00 107.91 90.00
Fractional coordinates of all 20 atoms:
La 0.760 0.953 0.096
La 0.260 0.547 0.096
La 0.740 0.453 0.904
La 0.240 0.047 0.904
La 0.751 0.452 0.362
La 0.251 0.048 0.362
La 0.749 0.952 0.638
La 0.249 0.548 0.638
Y 0.428 0.292 0.054
Y 0.928 0.208 0.054
Y 0.072 0.792 0.946
Y 0.572 0.708 0.946
Y 0.971 0.697 0.295
Y 0.471 0.803 0.295
Y 0.529 0.197 0.705
Y 0.029 0.303 0.705
Er 0.250 0.341 0.378
Er 0.750 0.659 0.622
Er 0.750 0.159 0.378
Er 0.250 0.841 0.622

## Properties
**ρ**: 5986 kg/m3
**Calculated volume**: 34.56 Å³/atom
**Crystal system**: monoclinic
**Energy of formation from the pure elements**: 0.13 eV/atom
**Excess energy over the best structure of this formula in the dataset**: 112 meV/atom

Record 13
First-principles (PBE) data for a geometry-optimized La2Y2Er3 structure, as listed in Alexandria via LeMat-Bulk.

Lattice parameters (Å, degrees): 8.489 8.489 8.489 109.47 109.47 109.47
Fractional coordinates of all 14 atoms:
La 0.000 0.000 0.817
La 0.500 0.817 0.500
La 0.183 0.683 0.683
La 0.317 0.500 0.000
Y 0.000 0.000 0.417
Y 0.500 0.417 0.500
Y 0.583 0.083 0.083
Y 0.917 0.500 0.000
Er 0.698 0.750 0.948
Er 0.802 0.250 0.552
Er 0.052 0.302 0.250
Er 0.448 0.198 0.750
Er 0.250 0.948 0.198
Er 0.750 0.552 0.302

## Properties
**ρ**: 6752 kg/m3
**Calculated volume**: 33.64 Å³/atom
**Crystal system**: cubic
**Energy of formation from the pure elements**: 0.21 eV/atom
**Excess energy over the best structure of this formula in the dataset**: 12 meV/atom

Record 14
First-principles (PBE) data for a geometry-optimized La2Y12Er5 structure, as listed in Alexandria via LeMat-Bulk.

Lattice parameters (Å, degrees): 6.179 11.318 15.590 130.81 86.18 123.19
Fractional coordinates of all 19 atoms:
La 0.951 0.054 0.133
La 0.049 0.946 0.867
Y 0.109 0.896 0.240
Y 0.207 0.785 0.972
Y 0.467 0.521 0.813
Y 0.157 0.841 0.603
Y 0.421 0.580 0.448
Y 0.632 0.368 0.920
Y 0.368 0.632 0.080
Y 0.843 0.159 0.397
Y 0.579 0.420 0.552
Y 0.793 0.215 0.028
Y 0.533 0.479 0.187
Y 0.891 0.104 0.760
Er 0.312 0.681 0.709
Er 0.267 0.741 0.345
Er 0.000 0.000 0.500
Er 0.733 0.259 0.655
Er 0.688 0.319 0.291

## Properties
**ρ**: 5905 kg/m3
**Calculated volume**: 32.28 Å³/atom
**Crystal system**: triclinic
**Energy of formation from the pure elements**: 0.03 eV/atom
**Excess energy over the best structure of this formula in the dataset**: 0 meV/atom

Record 15
First-principles (PBE) data for a geometry-optimized La4Y7Er structure, as listed in Alexandria via LeMat-Bulk.

Lattice parameters (Å, degrees): 3.629 3.629 35.318 90.00 90.00 120.00
Fractional coordinates of all 12 atoms:
La 0.333 0.667 0.916
La 0.667 0.333 0.084
La 0.333 0.667 0.666
La 0.667 0.333 0.334
Y 0.000 0.000 0.000
Y 0.333 0.667 0.419
Y 0.667 0.333 0.581
Y 0.333 0.667 0.168
Y 0.667 0.333 0.832
Y 0.000 0.000 0.750
Y 0.000 0.000 0.250
Er 0.000 0.000 0.500

## Properties
**ρ**: 5544 kg/m3
**Calculated volume**: 33.58 Å³/atom
**Crystal system**: trigonal
**Energy of formation from the pure elements**: 0.02 eV/atom
**Excess energy over the best structure of this formula in the dataset**: 0 meV/atom

Record 16
First-principles (PBE) data for a geometry-optimized LaY2Er8 structure, as listed in Alexandria via LeMat-Bulk.

Lattice parameters (Å, degrees): 5.471 8.090 9.351 115.61 107.01 90.00
Fractional coordinates of all 11 atoms:
La 0.500 0.000 0.000
Y 0.200 0.699 0.400
Y 0.800 0.301 0.600
Er 0.641 0.847 0.281
Er 0.360 0.566 0.720
Er 0.164 0.164 0.327
Er 0.000 0.295 0.000
Er 0.836 0.836 0.673
Er 0.640 0.434 0.280
Er 0.359 0.153 0.719
Er 0.000 0.705 0.000

## Properties
**ρ**: 7783 kg/m3
**Calculated volume**: 32.09 Å³/atom
**Crystal system**: orthorhombic
**Energy of formation from the pure elements**: 0.13 eV/atom
**Excess energy over the best structure of this formula in the dataset**: 0 meV/atom

Record 17
First-principles (PBE) data for a geometry-optimized La2Y2Er3 structure, as listed in Alexandria via LeMat-Bulk.

Lattice parameters (Å, degrees): 6.373 11.693 6.404 90.00 82.60 90.00
Fractional coordinates of all 14 atoms:
La 0.533 0.353 0.521
La 0.967 0.853 0.479
La 0.033 0.147 0.521
La 0.467 0.647 0.479
Y 0.793 0.722 0.908
Y 0.293 0.778 0.908
Y 0.707 0.222 0.092
Y 0.207 0.278 0.092
Er 0.500 0.500 0.000
Er 0.000 0.000 0.000
Er 0.532 0.040 0.744
Er 0.968 0.540 0.256
Er 0.032 0.460 0.744
Er 0.468 0.960 0.256

## Properties
**ρ**: 6718 kg/m3
**Calculated volume**: 33.81 Å³/atom
**Crystal system**: monoclinic
**Energy of formation from the pure elements**: 0.20 eV/atom
**Excess energy over the best structure of this formula in the dataset**: 0 meV/atom

Record 18
First-principles (PBE) data for a geometry-optimized La4Y2Er structure, as listed in Alexandria via LeMat-Bulk.

Lattice parameters (Å, degrees): 12.774 12.774 6.890 97.01 97.01 150.26
Fractional coordinates of all 14 atoms:
La 0.707 0.171 0.858
La 0.171 0.707 0.358
La 0.190 0.798 0.905
La 0.798 0.190 0.405
La 0.037 0.144 0.595
La 0.563 0.600 0.143
La 0.600 0.563 0.643
La 0.144 0.037 0.095
Y 0.627 0.311 0.456
Y 0.921 0.105 0.044
Y 0.105 0.921 0.544
Y 0.311 0.627 0.956
Er 0.418 0.668 0.500
Er 0.668 0.418 0.000

## Properties
**ρ**: 6096 kg/m3
**Calculated volume**: 35.05 Å³/atom
**Crystal system**: monoclinic
**Energy of formation from the pure elements**: 0.07 eV/atom
**Excess energy over the best structure of this formula in the dataset**: 0 meV/atom

Record 19
First-principles (PBE) data for a geometry-optimized La5Y2Er5 structure, as listed in Alexandria via LeMat-Bulk.

Lattice parameters (Å, degrees): 5.104 10.838 8.126 98.70 71.70 76.38
Fractional coordinates of all 12 atoms:
La 0.668 0.251 0.413
La 0.998 0.250 0.754
La 0.002 0.750 0.246
La 0.332 0.749 0.587
La 0.000 0.000 0.000
Y 0.332 0.501 0.834
Y 0.668 0.499 0.166
Er 0.000 0.500 0.500
Er 0.668 0.747 0.916
Er 0.333 0.000 0.334
Er 0.667 0.000 0.666
Er 0.332 0.253 0.084

## Properties
**ρ**: 7054 kg/m3
**Calculated volume**: 33.52 Å³/atom
**Crystal system**: monoclinic
**Energy of formation from the pure elements**: 0.03 eV/atom